Record 1
AlRu2W | PBE | relaxed

a = 4.886 Å, b = 4.886 Å, c = 4.397 Å
α = 73.05°, β = 73.05°, γ = 35.90°
Sites, in units of the cell vectors:
1 Ru 0.993 0.993 0.057
2 Ru 0.756 0.756 0.694
3 Al 0.254 0.254 0.199
4 W 0.496 0.496 0.550

## Properties
* symmetry: Cm, No. 8
* calculated formation energy: -0.229 eV/atom
* E_tot: -0.3322 hartree per atom

Record 2
HfScZnCd | PBE | relaxed

a = 4.844 Å, b = 4.844 Å, c = 4.844 Å
α = 60.00°, β = 60.00°, γ = 60.00°
Site moments in Bohr magnetons follow the coordinates.
Sites, in units of the cell vectors:
1 Sc 0.000 0.000 0.000  0.12
2 Zn 0.250 0.250 0.250  0.00
3 Hf 0.500 0.500 0.500  0.12
4 Cd 0.750 0.750 0.750  0.00

## Properties
* energy above the lowest structure with this stoichiometry: 60 meV per atom
* symmetry: F-43m, No. 216
* calculated formation energy: -0.129 eV/atom
* E_tot: -0.1745 hartree per atom

Record 3
La3RuBr2 | PBE | relaxed

a = 4.025 Å, b = 6.189 Å, c = 8.181 Å
α = 112.22°, β = 104.24°, γ = 90.00°
Sites, in units of the cell vectors:
1 La 0.628 0.628 0.257
2 La 0.000 0.000 0.000
3 La 0.372 0.372 0.743
4 Ru 0.000 0.500 0.000
5 Br 0.321 0.821 0.641
6 Br 0.679 0.179 0.359

## Properties
* energy relative to the elements, uncorrected: -1063 meV/atom
* symmetry: Immm, No. 71
* E_tot: -0.2069 hartree per atom

Record 4
ThHgPtRh | PBE | relaxed

a = 4.891 Å, b = 4.891 Å, c = 4.891 Å
α = 60.00°, β = 60.00°, γ = 60.00°
Sites, in units of the cell vectors:
1 Pt 0.750 0.750 0.750
2 Rh 0.250 0.250 0.250
3 Hg 0.500 0.500 0.500
4 Th 0.000 0.000 0.000

## Properties
* symmetry: F-43m, No. 216
* calculated formation energy: -0.637 eV/atom
* E_tot: -0.2174 hartree per atom

Record 5
Sc2CrPtN | PBE | relaxed

a = 4.443 Å, b = 4.443 Å, c = 3.775 Å
α = 90.00°, β = 90.00°, γ = 90.00°
Site moments in Bohr magnetons follow the coordinates.
Sites, in units of the cell vectors:
1 Sc 0.000 0.500 0.000  -0.04
2 Sc 0.500 0.000 0.000  -0.04
3 Cr 0.000 0.000 0.500  1.87
4 Pt 0.500 0.500 0.500  0.05
5 N 0.000 0.000 0.000  -0.03

## Properties
* energy relative to the elements, uncorrected: -1061 meV/atom
* symmetry: P4/mmm, No. 123
* E_tot: -0.3084 hartree per atom

Record 6
ScAsAu4 | PBE | relaxed

a = 5.521 Å, b = 5.521 Å, c = 5.521 Å
α = 60.00°, β = 60.00°, γ = 60.00°
Sites, in units of the cell vectors:
1 Sc 0.750 0.750 0.750
2 As 0.000 0.000 0.000
3 Au 0.875 0.375 0.375
4 Au 0.375 0.375 0.875
5 Au 0.375 0.875 0.375
6 Au 0.375 0.375 0.375

## Properties
* symmetry: F-43m, No. 216
* calculated formation energy: -0.192 eV/atom
* E_tot: -0.1546 hartree per atom

Record 7
CuSbSN2 | PBE | relaxed

a = 3.927 Å, b = 3.927 Å, c = 5.462 Å
α = 90.00°, β = 90.00°, γ = 90.00°
Site moments in Bohr magnetons follow the coordinates.
Sites, in units of the cell vectors:
1 Sb 0.000 0.000 0.000  -0.03
2 S 0.000 0.000 0.500  0.09
3 Cu 0.500 0.500 0.500  0.11
4 N 0.000 0.500 0.000  0.35
5 N 0.500 0.000 0.000  0.35

## Properties
* energy relative to the elements, uncorrected: 1385 meV/atom
* energy above the lowest structure with this stoichiometry: 29 meV per atom
* symmetry: P4/mmm, No. 123
* E_tot: -0.1622 hartree per atom

Record 8
NaSi2Sn2 | PBE | relaxed

a = 7.701 Å, b = 7.701 Å, c = 3.889 Å
α = 90.00°, β = 90.00°, γ = 90.00°
Sites, in units of the cell vectors:
1 Na 0.000 0.000 0.000
2 Na 0.500 0.500 0.000
3 Si 0.386 0.886 0.000
4 Si 0.886 0.614 0.000
5 Si 0.614 0.114 0.000
6 Si 0.114 0.386 0.000
7 Sn 0.165 0.665 0.500
8 Sn 0.665 0.835 0.500
9 Sn 0.835 0.335 0.500
10 Sn 0.335 0.165 0.500

## Properties
* energy relative to the elements, uncorrected: 185 meV/atom
* energy above the lowest structure with this stoichiometry: 71 meV per atom
* symmetry: P4/mbm, No. 127
* E_tot: -0.1415 hartree per atom

| no. | density of states at the Fermi level (states/eV per cell) |
| --- | --- |
| 1 | 2.8 |
| 2 | 4.7 |
| 3 | 5.1 |
| 4 | 3.2 |
| 5 | 2.5 |
| 6 | 0.9 |
| 7 | 4.4 |
| 8 | 2.9 |